Entry 1:
A plane-wave DFT calculation with GGA-PBE was carried out for a geometry-optimized MnCr2Cl structure.

a b c (Å): 4.9179 4.9179 4.9179
angles (deg): 147.35 129.71 61.25
Last column: magnetic moment on the atom in μB.
Element x y z (fractional)
1 Mn 0.7500 0.2500 0.5000  2.14
2 Cl 0.2500 0.7500 0.5000  -0.02
3 Cr 0.4756 0.4756 0.0000  -0.79
4 Cr 0.0244 0.0244 0.0000  -0.79

Output
formation energy without anion corrections = 0.64 eV/atom



Entry 2:
A plane-wave DFT calculation with GGA-PBE was carried out for a geometry-optimized SiIN2O structure.

a b c (Å): 3.3973 3.3973 7.1858
angles (deg): 90.00 90.00 90.00
Element x y z (fractional)
1 O 0.5000 0.5000 0.5000
2 N 0.0000 0.5000 0.0000
3 I 0.0000 0.0000 0.5000
4 N 0.5000 0.0000 0.0000
5 Si 0.0000 0.0000 0.0000

Output
formation energy without anion corrections = 0.59 eV/atom



Entry 3:
A plane-wave DFT calculation with GGA-PBE was carried out for a geometry-optimized GaAs3S structure.

a b c (Å): 4.8487 4.8487 4.8487
angles (deg): 90.00 90.00 90.00
Element x y z (fractional)
1 S 0.0000 0.0000 0.0000
2 As 0.0000 0.5000 0.0000
3 As 0.5000 0.0000 0.0000
4 Ga 0.5000 0.5000 0.5000
5 As 0.0000 0.0000 0.5000

Output
formation energy without anion corrections = 0.67 eV/atom



Entry 4:
A plane-wave DFT calculation with GGA-PBE was carried out for a geometry-optimized Dy4Ho3Tm4 structure.

a b c (Å): 3.4705 5.5247 17.8776
angles (deg): 81.11 84.41 90.00
Element x y z (fractional)
1 Ho 0.8629 0.3627 0.2738
2 Tm 0.2668 0.2665 0.4668
3 Tm 0.5905 0.0914 0.8188
4 Ho 0.1371 0.6374 0.7262
5 Dy 0.6810 0.1808 0.6390
6 Tm 0.4096 0.9086 0.1812
7 Dy 0.5462 0.5466 0.9082
8 Dy 0.4538 0.4534 0.0918
9 Ho 0.0000 0.0000 0.0000
10 Tm 0.7332 0.7336 0.5331
11 Dy 0.3191 0.8192 0.3610

Output
energy of formation from the pure elements = 0.061 eV/atom



Entry 5:
A plane-wave DFT calculation with GGA-PBE was carried out for a geometry-optimized Tb2YTl structure.

a b c (Å): 5.3319 6.7556 6.7950
angles (deg): 78.44 90.00 90.00
Element x y z (fractional)
1 Tl 0.7500 0.8876 0.7442
2 Tb 0.2500 0.1358 0.7726
3 Tb 0.2500 0.5831 0.0981
4 Tl 0.2500 0.1124 0.2558
5 Y 0.7500 0.3307 0.4231
6 Tb 0.7500 0.4169 0.9019
7 Tb 0.7500 0.8642 0.2274
8 Y 0.2500 0.6693 0.5769

Output
energy of formation from the pure elements = -0.201 eV/atom



Entry 6:
A plane-wave DFT calculation with GGA-PBE was carried out for a geometry-optimized SrNiSe2 structure.

a b c (Å): 4.4896 4.4896 7.2946
angles (deg): 90.00 90.00 129.99
Element x y z (fractional)
1 Sr 0.5000 0.5000 0.2500
2 Se 0.0000 0.0000 0.9473
3 Ni 0.5000 0.5000 0.7500
4 Se 0.0000 0.0000 0.5527

Output
formation energy without anion corrections = -0.64 eV/atom



Entry 7:
A plane-wave DFT calculation with GGA-PBE was carried out for a geometry-optimized Be2IrCl structure.

a b c (Å): 4.2180 4.2180 2.8166
angles (deg): 90.04 90.04 99.42
Element x y z (fractional)
1 Be 0.0000 0.0000 0.0000
2 Cl 0.5000 0.0000 0.5000
3 Be 0.5000 0.5000 0.0000
4 Ir 0.0000 0.5000 0.5000

Output
formation energy without anion corrections = 0.20 eV/atom



Entry 8:
A plane-wave DFT calculation with GGA-PBE was carried out for a geometry-optimized Ta2CdNi structure.

a b c (Å): 4.0552 2.8719 6.2243
angles (deg): 67.67 90.00 90.00
Element x y z (fractional)
1 Ta 0.0000 0.9858 0.9787
2 Cd 0.5000 0.2500 0.2500
3 Ta 0.0000 0.5142 0.5213
4 Ni 0.5000 0.7500 0.7500

Output
energy of formation from the pure elements = 0.193 eV/atom



| no. | density of states at the Fermi level (states/eV/cell) | calculated density (g cm⁻³) |
| --- | --- | --- |
| 1 | 4.516 | 6.6 |
| 2 | 1.581 | 4.0 |
| 3 | 5.496 | 4.8 |
| 4 | 19.790 | 9.0 |
| 5 | 7.689 | 8.5 |
| 6 | 2.148 | 4.5 |
| 7 | 1.374 | 8.3 |
| 8 | 3.257 | 13.2 |